A plane-wave DFT calculation with GGA-PBE was carried out for a geometry-optimized HfZr3Cr structure.

POSCAR file:
```
HfZr3Cr
1.0
5.0818 0.0000 0.0000
0.0000 5.0818 0.0000
0.0000 0.0000 5.0818
Hf Zr Cr
1 3 1
Direct
0.0000 0.0000 0.0000
0.0000 0.0000 0.5000
0.0000 0.5000 0.0000
0.5000 0.0000 0.0000
0.5000 0.5000 0.5000
```

Results
Distance to the lowest polymorph of the same formula ... 1.1470 eV/atom
Calculated volume ... 131.23 Å³ per cell
Space group ... Pm-3m, No. 221

***

A plane-wave DFT calculation with GGA-PBE was carried out for a geometry-optimized AcEuErSc structure.

POSCAR file:
```
AcEuErSc
1.0
0.0000 4.0965 4.0965
4.0965 0.0000 4.0965
4.0965 4.0965 0.0000
Ac Eu Er Sc
1 1 1 1
Direct
0.0000 0.0000 0.0000
0.5000 0.5000 0.5000
0.2500 0.2500 0.2500
0.7500 0.7500 0.7500
```

Results
Calculated volume ... 137.48 Å³ per cell
Space group ... F-43m, No. 216

***

A plane-wave DFT calculation with GGA-PBE was carried out for a geometry-optimized Nd2Sm6Tm3In structure.

POSCAR file:
```
Nd2Sm6Tm3In
1.0
3.0770 -5.3365 0.0000
3.0770 5.3365 0.0000
-2.0544 0.0000 11.6252
Nd Sm Tm In
2 6 3 1
Direct
0.1663 0.8337 0.0000
0.8337 0.1663 0.0000
0.0897 0.4160 0.7476
0.2579 0.2579 0.2532
0.4160 0.0897 0.7476
0.5840 0.9103 0.2524
0.7421 0.7421 0.7468
0.9103 0.5840 0.2524
0.0000 0.0000 0.5000
0.3330 0.6670 0.5000
0.6670 0.3330 0.5000
0.5000 0.5000 0.0000
```

Results
Calculated volume ... 381.77 Å³ per cell
Space group ... C2/m, No. 12

***

| no. | DFT formation energy (eV/atom) |
| --- | --- |
| 1 | 1.6979 |
| 2 | 0.1691 |
| 3 | -0.0513 |